A plane-wave DFT calculation with PBE-GGA was carried out for crystalline As2RhCl at its relaxed geometry.

The space group is R-3m (No. 166, hexagonal axes) and the conventional cell measures 3.5241, 3.5241 and 21.6617 Å, with angles of 90.00, 90.00 and 120.00 degrees. The distinct sites, in fractional coordinates, are As at (0.0000, 0.0000, 0.2348), Rh at (0.0000, 0.0000, 0.5000) and Cl at (0.0000, 0.0000, 0.0000).



A plane-wave DFT calculation with PBE-GGA was carried out for crystalline As2RhCl at its relaxed geometry.

The space group is Fm-3m (No. 225) and the conventional cell measures 6.4580, 6.4580 and 6.4580 Å, with angles of 90.00, 90.00 and 90.00 degrees. The distinct sites, in fractional coordinates, are As at (0.2500, 0.2500, 0.2500), Rh at (0.0000, 0.0000, 0.0000) and Cl at (0.0000, 0.0000, 0.5000).



A plane-wave DFT calculation with PBE-GGA was carried out for crystalline As2RhCl at its relaxed geometry.

The space group is Pm (No. 6) and the conventional cell measures 3.9467, 3.7691 and 6.7881 Å, with angles of 90.00, 97.55 and 90.00 degrees. The distinct sites, in fractional coordinates, are As at (0.0000, 0.0000, 0.0000), As at (0.4403, 0.5000, 0.9848), Rh at (0.8648, 0.5000, 0.7543) and Cl at (0.7076, 0.0000, 0.5257).



A plane-wave DFT calculation with PBE-GGA was carried out for crystalline As2RhCl at its relaxed geometry.

The space group is Pmmm (No. 47) and the conventional cell measures 3.1795, 4.5526 and 4.7341 Å, with angles of 90.00, 90.00 and 90.00 degrees. The distinct sites, in fractional coordinates, are As at (0.0000, 0.0000, 0.0000), As at (0.5000, 0.5000, 0.0000), Rh at (0.0000, 0.5000, 0.5000) and Cl at (0.5000, 0.0000, 0.5000).



A plane-wave DFT calculation with PBE-GGA was carried out for crystalline As2RhCl at its relaxed geometry.

The space group is P4/mmm (No. 123) and the conventional cell measures 3.1636, 3.1636 and 7.2943 Å, with angles of 90.00, 90.00 and 90.00 degrees. The distinct sites, in fractional coordinates, are As at (0.0000, 0.0000, 0.2004), Rh at (0.5000, 0.5000, 0.0000) and Cl at (0.5000, 0.5000, 0.5000).



A plane-wave DFT calculation with PBE-GGA was carried out for crystalline AsRhCl at its relaxed geometry.

The space group is F-43m (No. 216) and the conventional cell measures 6.0826, 6.0826 and 6.0826 Å, with angles of 90.00, 90.00 and 90.00 degrees. The distinct sites, in fractional coordinates, are As at (0.0000, 0.0000, 0.0000), Rh at (0.2500, 0.2500, 0.7500) and Cl at (0.0000, 0.0000, 0.5000).



A plane-wave DFT calculation with PBE-GGA was carried out for crystalline AsRhCl at its relaxed geometry.

The space group is F-43m (No. 216) and the conventional cell measures 6.2199, 6.2199 and 6.2199 Å, with angles of 90.00, 90.00 and 90.00 degrees. The distinct sites, in fractional coordinates, are As at (0.0000, 0.0000, 0.0000), Rh at (0.2500, 0.2500, 0.7500) and Cl at (0.2500, 0.2500, 0.2500).



A plane-wave DFT calculation with PBE-GGA was carried out for crystalline As2RhCl at its relaxed geometry.

The space group is Imm2 (No. 44) and the conventional cell measures 3.3902, 3.9781 and 12.6152 Å, with angles of 90.00, 90.00 and 90.00 degrees. The distinct sites, in fractional coordinates, are As at (0.0000, 0.0000, 0.0000), As at (0.0000, 0.5000, 0.1259), Rh at (0.0000, 0.0000, 0.4718) and Cl at (0.0000, 0.5000, 0.8100).



A plane-wave DFT calculation with PBE-GGA was carried out for crystalline As2RhCl at its relaxed geometry.

The space group is Cmmm (No. 65) and the conventional cell measures 5.2274, 8.5630 and 3.1307 Å, with angles of 90.00, 90.00 and 90.00 degrees. The distinct sites, in fractional coordinates, are As at (0.2500, 0.2500, 0.0000), Rh at (0.0000, 0.0000, 0.5000) and Cl at (0.0000, 0.5000, 0.5000).



A plane-wave DFT calculation with PBE-GGA was carried out for crystalline As2RhCl at its relaxed geometry.

The space group is Cmmm (No. 65) and the conventional cell measures 4.7352, 8.8201 and 3.8259 Å, with angles of 90.00, 90.00 and 90.00 degrees. The distinct sites, in fractional coordinates, are As at (0.0000, 0.1812, 0.0000), Rh at (0.0000, 0.0000, 0.5000) and Cl at (0.0000, 0.5000, 0.5000).



A plane-wave DFT calculation with PBE-GGA was carried out for crystalline AsRhCl4 at its relaxed geometry.

The space group is F-43m (No. 216) and the conventional cell measures 7.9842, 7.9842 and 7.9842 Å, with angles of 90.00, 90.00 and 90.00 degrees. The distinct sites, in fractional coordinates, are As at (0.0000, 0.0000, 0.0000), Rh at (0.2500, 0.2500, 0.2500) and Cl at (0.1241, 0.1241, 0.6241).



A plane-wave DFT calculation with PBE-GGA was carried out for crystalline As2RhCl at its relaxed geometry.

The space group is C2/m (No. 12) and the conventional cell measures 6.7189, 3.8925 and 7.4257 Å, with angles of 90.00, 107.51 and 90.00 degrees. The distinct sites, in fractional coordinates, are As at (0.1153, 0.0000, 0.3483), Rh at (0.0000, 0.5000, 0.5000) and Cl at (0.0000, 0.0000, 0.0000).



Values for uncorrected formation energy, meV/atom, ordered as above
-160 324 -151 390 -114 -34 524 -120 368 -215 1163 -292